Computed, not measured: a geometry-optimized TbMnAgF6 structure at the GGA+U level of DFT.

Properties
Crystal system: tetragonal
Electronic total energy, hartree per atom: -0.214

Unit cell a=5.2857 b=5.2857 c=10.5411 alpha=90.00 beta=90.00 gamma=90.00
Space group P4_2nm (No. 102)
One atom of each set of equivalent atoms:
Tb 0.0000 0.0000 0.0000
Mn 0.0000 0.0000 0.3372
Ag 0.0000 0.0000 0.6694
F 0.1760 0.1760 0.1716
F 0.2060 0.2060 0.4801
F 0.2157 0.2157 0.8572